[1]
Computed, not measured: crystalline HfPaGa2O8 at its relaxed geometry at the PBE-GGA level of DFT.

The structure in POSCAR format:
```
HfPaGa2O8
1.0
5.0913 0.0000 0.0000
0.0000 5.0913 0.0000
-2.5457 -2.5457 5.3327
Hf Pa Ga O
1 1 2 8
direct
0.7500 0.2500 0.5000
0.0000 0.0000 0.0000
0.5000 0.5000 0.0000
0.2500 0.7500 0.5000
0.7553 0.8598 0.1725
0.4172 0.3127 0.1725
0.6030 0.6459 0.6596
0.0566 0.0137 0.6596
0.9863 0.3970 0.3404
0.3541 0.9434 0.3404
0.1402 0.5828 0.8275
0.6873 0.2447 0.8275
```

Computed properties:
The space group is I-4, No. 82. The value obtained for the total DFT energy (no corrections) is -8.024 eV per atom.

=====

[2]
Computed, not measured: crystalline AlGe6 at its relaxed geometry at the PBE-GGA level of DFT.

The structure in POSCAR format:
```
AlGe6
1.0
-4.0269 -1.6846 -4.3017
4.3360 -4.2978 0.5343
-2.8943 0.6595 5.3616
Al Ge
1 6
direct
0.0000 0.0000 0.0000
0.2500 0.7500 0.5000
0.5000 0.7500 0.2500
0.2500 0.5000 0.7500
0.7500 0.2500 0.5000
0.5000 0.2500 0.7500
0.7500 0.5000 0.2500
```

Computed properties:
Its formation energy is 0.387 eV/atom. The space group is Im-3m, No. 229.

=====

[3]
Computed, not measured: crystalline LaSmZrN3 at its relaxed geometry at the PBE-GGA level of DFT.

The structure in POSCAR format:
```
LaSmZrN3
1.0
3.4746 0.0000 0.0000
0.0000 6.7471 0.9806
0.0000 -1.5947 9.7366
La Sm Zr N
2 2 2 6
direct
0.7500 0.8375 0.7807
0.2500 0.1625 0.2193
0.2500 0.6421 0.1215
0.7500 0.3579 0.8785
0.2500 0.1670 0.5700
0.7500 0.8330 0.4300
0.2500 0.8453 0.5558
0.7500 0.8516 0.2175
0.7500 0.3646 0.1143
0.7500 0.1547 0.4442
0.2500 0.6354 0.8857
0.2500 0.1484 0.7825
```

Computed properties:
The space group is P2_1/m, No. 11. The value obtained for the total DFT energy (no corrections) is -8.404 eV per atom.

=====

[4]
Computed, not measured: crystalline SrTa2Au at its relaxed geometry at the PBE-GGA level of DFT.

The structure in POSCAR format:
```
SrTa2Au
1.0
-1.5104 -2.2755 -1.2905
0.1769 -1.5756 2.5711
-8.1886 3.7965 2.8899
Au Sr Ta
1 1 2
direct
0.0000 0.0000 0.4673
0.5000 0.5000 0.7314
0.0000 0.0000 0.0404
0.5000 0.5000 0.2608
```

Computed properties:
Its formation energy is 0.304 eV/atom. The space group is P4mm, No. 99.

=====

[5]
Computed, not measured: crystalline Mn2AlRe at its relaxed geometry at the PBE-GGA level of DFT.

The structure in POSCAR format:
```
Mn2AlRe
1.0
-3.9146 1.0189 -2.3813
-3.8910 -1.7558 1.9519
3.6236 2.5216 1.5950
Re Mn Al
1 2 1
direct
0.5000 0.5000 0.0000
0.0000 0.0000 0.0000
0.2500 0.7500 0.5000
0.7500 0.2500 0.5000
```

Computed properties:
Its formation energy is -0.048 eV/atom. The space group is I-4m2, No. 119.

=====

[6]
Computed, not measured: crystalline CeNd2Er at its relaxed geometry at the PBE-GGA level of DFT.

The structure in POSCAR format:
```
CeNd2Er
1.0
5.0636 0.0000 0.0000
0.0000 5.0865 0.0000
0.0000 0.0000 5.0865
Nd Ce Er
2 1 1
direct
0.0000 0.0000 0.5000
0.0000 0.5000 0.0000
0.5000 0.0000 0.0000
0.5000 0.5000 0.5000
```

Computed properties:
Its formation energy is 0.076 eV/atom. The space group is P4/mmm, No. 123.

=====

[7]
Computed, not measured: crystalline CeSmMgRu at its relaxed geometry at the PBE-GGA level of DFT.

The structure in POSCAR format:
```
CeSmMgRu
1.0
5.0995 0.0000 0.0000
2.5498 4.4163 0.0000
2.5498 1.4721 4.1637
Ru Mg Ce Sm
1 1 1 1
direct
0.7500 0.7500 0.7500
0.2500 0.2500 0.2500
0.5000 0.5000 0.5000
0.0000 0.0000 0.0000
```

Computed properties:
Its formation energy is -0.072 eV/atom. The space group is F-43m, No. 216.

=====

[8]
Computed, not measured: crystalline Cu2NF at its relaxed geometry at the PBE-GGA level of DFT.

The structure in POSCAR format:
```
Cu2NF
1.0
0.0000 2.6787 2.6787
2.6787 0.0000 2.6787
2.6787 2.6787 0.0000
N Cu F
1 2 1
direct
0.0000 0.0000 0.0000
0.2500 0.2500 0.2500
0.7500 0.7500 0.7500
0.5000 0.5000 0.5000
```

Computed properties:
The space group is Fm-3m, No. 225. The value obtained for the total DFT energy (no corrections) is -4.205 eV per atom.

=====

[9]
Computed, not measured: crystalline La2TiInC at its relaxed geometry at the PBE-GGA level of DFT.

The structure in POSCAR format:
```
La2TiInC
1.0
5.3954 0.0000 0.0000
0.0000 5.3954 0.0000
0.0000 0.0000 4.2330
C In Ti La
1 1 1 2
direct
0.0000 0.0000 0.0000
0.5000 0.5000 0.5000
0.0000 0.0000 0.5000
0.0000 0.5000 0.0000
0.5000 0.0000 0.0000
```

Computed properties:
Its formation energy is -0.272 eV/atom. The space group is P4/mmm, No. 123.

=====

[10]
Computed, not measured: crystalline BaCo2Tc at its relaxed geometry at the PBE-GGA level of DFT.

The structure in POSCAR format:
```
BaCo2Tc
1.0
5.6636 0.0024 -0.0014
2.5051 5.0794 0.0014
-3.2830 -3.8290 2.5762
Ba Co Tc
1 2 1
direct
0.2475 0.7475 0.5000
0.9529 0.9529 0.0000
0.7548 0.2548 0.5000
0.5448 0.5448 0.0000
```

Computed properties:
Its formation energy is 1.001 eV/atom. The space group is Imm2, No. 44.

=====

[11]
Computed, not measured: crystalline Zr3GePd at its relaxed geometry at the PBE-GGA level of DFT.

The structure in POSCAR format:
```
Zr3GePd
1.0
-1.4584 4.5311 -1.4347
-4.3195 -0.6376 2.3772
1.9826 1.9439 4.1239
Ge Zr Pd
1 3 1
direct
0.0000 0.0000 0.0000
0.0000 0.5000 0.0000
0.0000 0.0000 0.5000
0.5000 0.0000 0.0000
0.5000 0.5000 0.5000
```

Computed properties:
Its formation energy is 0.326 eV/atom. The space group is Pm-3m, No. 221.

=====

[12]
Computed, not measured: crystalline CrSi2OsBr at its relaxed geometry at the PBE-GGA level of DFT.

The structure in POSCAR format:
```
CrSi2OsBr
1.0
-1.3690 -4.0512 1.4859
-0.3309 -1.8860 -5.4469
4.3073 -1.3767 0.2150
Cr Si Os Br
1 2 1 1
direct
0.5000 0.5000 0.5000
0.0000 0.0000 0.5000
0.5000 0.0000 0.0000
0.0000 0.0000 0.0000
0.0000 0.5000 0.0000
```

Computed properties:
The space group is P4/mmm, No. 123. The value obtained for the total DFT energy (no corrections) is -5.929 eV per atom.

=====

How do the records compare in magnetic moment? In the order shown, they have 1.030 0.000 0.000 0.000 3.047 0.718 0.139 1.911 1.191 3.707 0.000 5.170 μB per cell.